(1)
Compound: YZrSi2C
Source: Alexandria
Functional: GGA-PBE
Structure: optimized geometry

```
YZrSi2C
1.0
-3.216 -1.674 3.677
4.172 -1.397 3.014
0.017 4.694 2.152
Y Si C Zr
1 2 1 1
Cartesian
0.000 0.000 0.000 Y
0.008 2.347 1.076 Si
-1.608 -0.837 1.838 Si
0.486 0.812 4.421 C
2.086 -0.698 1.507 Zr
```

Summary:
The value obtained for the total energy is -22.5 eV/cell. The magnetization is 1.52 μB/f.u.

***

(2)
Compound: ZnSiC2
Source: Alexandria
Functional: GGA-PBE
Structure: optimized geometry

```
ZnSiC2
1.0
-2.770 -3.369 1.593
-1.182 -1.089 -4.357
1.337 -5.045 -1.577
C Zn Si
4 2 2
Cartesian
-1.445 -3.381 0.000 C
-0.850 -2.484 -2.860 C
-0.522 -5.495 -2.376 C
-2.412 -7.645 -3.443 C
0.000 0.000 0.000 Zn
-1.704 -5.322 -0.683 Zn
-1.976 -2.229 -1.382 Si
-0.910 -4.181 -3.658 Si
```

Summary:
The value obtained for the total energy is -44.1 eV/cell. As for the energy above the most stable polymorph in this dataset: 0.000 eV/atom. The magnetization is 0.00 μB/f.u.

***

(3)
Compound: ZnSi2C
Source: Alexandria
Functional: GGA-PBE
Structure: optimized geometry

```
ZnSi2C
1.0
0.000 2.973 2.973
2.973 0.000 2.973
2.973 2.973 0.000
C Zn Si
1 1 2
Cartesian
0.000 0.000 0.000 C
2.973 2.973 2.973 Zn
1.486 1.486 1.486 Si
4.459 4.459 4.459 Si
```

Summary:
The value obtained for the total energy is -15.6 eV/cell. As for the energy above the most stable polymorph in this dataset: 1.008 eV/atom. The magnetization is 0.00 μB/f.u.

***

(4)
Compound: Zn3SiC
Source: Alexandria
Functional: GGA-PBE
Structure: optimized geometry

```
Zn3SiC
1.0
-3.709 1.912 0.187
-1.913 -3.641 -0.729
-0.170 -0.733 4.109
C Zn Si
1 3 1
Cartesian
0.000 0.000 0.000 C
-0.957 -1.820 -0.364 Zn
-0.085 -0.367 2.054 Zn
-1.855 0.956 0.094 Zn
-2.897 -1.231 1.784 Si
```

Summary:
The value obtained for the total energy is -14.6 eV/cell. As for the energy above the most stable polymorph in this dataset: 0.000 eV/atom. The magnetization is 0.00 μB/f.u.

***

(5)
Compound: ZnSiC2
Source: Alexandria
Functional: GGA-PBE
Structure: optimized geometry

```
ZnSiC2
1.0
0.000 2.707 2.707
2.707 0.000 2.707
2.707 2.707 0.000
C Zn Si
2 1 1
Cartesian
1.354 1.354 1.354 C
4.061 4.061 4.061 C
2.707 2.707 2.707 Zn
0.000 0.000 0.000 Si
```

Summary:
The value obtained for the total energy is -17.3 eV/cell. As for the energy above the most stable polymorph in this dataset: 1.188 eV/atom. The magnetization is 0.00 μB/f.u.

***

(6)
Compound: ZnSi2C
Source: Alexandria
Functional: GGA-PBE
Structure: optimized geometry

```
ZnSi2C
1.0
-0.857 5.022 -0.940
-1.936 -1.201 -4.653
-5.485 1.549 -1.001
C Zn Si
2 2 4
Cartesian
-1.396 1.911 -2.796 C
-4.409 1.130 -4.225 C
0.000 0.000 0.000 Zn
-3.869 4.241 -2.369 Zn
-2.082 2.983 -1.346 Si
-2.756 0.658 -3.349 Si
-5.313 2.501 -3.213 Si
-6.406 4.600 -5.280 Si
```

Summary:
The value obtained for the total energy is -39.3 eV/cell. As for the energy above the most stable polymorph in this dataset: 0.000 eV/atom. The magnetization is 0.00 μB/f.u.